[1]
{"formula": "Cu2Sn2Pb3", "functional": "PBE-GGA", "state": "relaxed", "spacegroup": "R3m (160)", "final_energy_ev_per_atom": -3.4210, "cell": [[2.568, 1.482, 8.316], [-2.568, 1.482, 8.316], [0.000, -2.965, 8.316]], "species": ["Cu", "Cu", "Sn", "Sn", "Pb", "Pb", "Pb"], "fractional_positions": [[0.000, 0.000, 0.000], [0.492, 0.492, 0.492], [0.235, 0.235, 0.235], [0.751, 0.751, 0.751], [0.373, 0.373, 0.373], [0.624, 0.624, 0.624], [0.870, 0.870, 0.870]]}

---

[2]
{"formula": "NpScCo", "functional": "PBE-GGA", "state": "relaxed", "spacegroup": "F-43m (216)", "magmom_total_mub_per_fu": 4.38, "de_polymorph_ev_per_fu": 0.000, "delta_e_f_ev_per_atom": 0.259, "cell": [[0.000, 3.088, 3.088], [3.088, 0.000, 3.088], [3.088, 3.088, 0.000]], "species": ["Np", "Sc", "Co"], "fractional_positions": [[0.000, 0.000, 0.000], [0.500, 0.500, 0.500], [0.250, 0.250, 0.250]]}

---

[3]
{"formula": "MgNbTe", "functional": "PBE-GGA", "state": "relaxed", "spacegroup": "F-43m (216)", "magmom_total_mub_per_fu": 0.60, "final_energy_ev_per_atom": -4.5169, "cell": [[0.000, 3.287, 3.287], [3.287, 0.000, 3.287], [3.287, 3.287, 0.000]], "species": ["Mg", "Nb", "Te"], "fractional_positions": [[0.000, 0.000, 0.000], [0.500, 0.500, 0.500], [0.250, 0.250, 0.250]]}

---

[4]
{"formula": "ZrCoAsW", "functional": "PBE-GGA", "state": "relaxed", "spacegroup": "F-43m (216)", "magmom_total_mub_per_fu": 0.00, "de_polymorph_ev_per_fu": 0.000, "cell": [[0.000, 3.145, 3.145], [3.145, 0.000, 3.145], [3.145, 3.145, 0.000]], "species": ["Zr", "Co", "As", "W"], "fractional_positions": [[0.000, 0.000, 0.000], [0.750, 0.750, 0.750], [0.500, 0.500, 0.500], [0.250, 0.250, 0.250]]}

---

[5]
{"formula": "Pr5Os2O12", "functional": "PBE-GGA", "state": "relaxed", "spacegroup": "C2/m (12)", "magmom_total_mub_per_fu": 5.00, "final_energy_ev_per_atom": -8.1317, "cell": [[6.416, -3.007, 0.000], [6.416, 3.007, 0.000], [-2.303, 0.000, 7.329]], "species": ["Pr", "Pr", "Pr", "Pr", "Pr", "Os", "Os", "O", "O", "O", "O", "O", "O", "O", "O", "O", "O", "O", "O"], "fractional_positions": [[0.000, 0.000, 0.000], [0.305, 0.305, 0.142], [0.308, 0.308, 0.668], [0.692, 0.692, 0.332], [0.695, 0.695, 0.858], [0.236, 0.764, 0.500], [0.764, 0.236, 0.500], [0.001, 0.001, 0.687], [0.096, 0.584, 0.421], [0.096, 0.595, 0.923], [0.405, 0.904, 0.077], [0.416, 0.904, 0.579], [0.500, 0.500, 0.328], [0.500, 0.500, 0.672], [0.584, 0.096, 0.421], [0.595, 0.096, 0.923], [0.904, 0.405, 0.077], [0.904, 0.416, 0.579], [0.999, 0.999, 0.313]]}

---

[6]
{"formula": "Lu2MgZn", "functional": "PBE-GGA", "state": "relaxed", "spacegroup": "F-43m (216)", "magmom_total_mub_per_fu": 0.00, "final_energy_ev_per_atom": -2.8933, "cell": [[0.000, 3.622, 3.622], [3.622, 0.000, 3.622], [3.622, 3.622, 0.000]], "species": ["Lu", "Lu", "Mg", "Zn"], "fractional_positions": [[0.000, 0.000, 0.000], [0.250, 0.250, 0.250], [0.500, 0.500, 0.500], [0.750, 0.750, 0.750]]}

---

[7]
{"formula": "Zr3AlB4", "functional": "PBE-GGA", "state": "relaxed", "spacegroup": "Pmmm (47)", "magmom_total_mub_per_fu": 0.00, "final_energy_ev_per_atom": -7.8085, "cell": [[3.187, 0.000, 0.000], [0.000, 3.585, 0.000], [0.000, 0.000, 8.692]], "species": ["Zr", "Zr", "Zr", "Al", "B", "B", "B", "B"], "fractional_positions": [[0.000, 0.000, 0.000], [0.500, 0.000, 0.310], [0.500, 0.000, 0.690], [0.000, 0.500, 0.500], [0.000, 0.500, 0.211], [0.000, 0.500, 0.789], [0.500, 0.500, 0.109], [0.500, 0.500, 0.891]]}

---

[8]
{"formula": "Tb2IrO4", "functional": "PBE-GGA", "state": "relaxed", "spacegroup": "Fd-3m (227)", "magmom_total_mub_per_fu": 3.00, "final_energy_ev_per_atom": -7.4584, "cell": [[0.000, 4.749, 4.749], [4.749, 0.000, 4.749], [4.749, 4.749, 0.000]], "species": ["Tb", "Tb", "Tb", "Tb", "Ir", "Ir", "O", "O", "O", "O", "O", "O", "O", "O"], "fractional_positions": [[0.000, 0.000, 0.000], [0.000, 0.000, 0.500], [0.000, 0.500, 0.000], [0.500, 0.000, 0.000], [0.375, 0.375, 0.375], [0.625, 0.625, 0.625], [0.220, 0.760, 0.760], [0.240, 0.240, 0.240], [0.240, 0.240, 0.780], [0.240, 0.780, 0.240], [0.760, 0.220, 0.760], [0.760, 0.760, 0.220], [0.760, 0.760, 0.760], [0.780, 0.240, 0.240]]}

---

[9]
{"formula": "Pr2Sc2GeSb", "functional": "PBE-GGA", "state": "relaxed", "spacegroup": "I4mm (107)", "magmom_total_mub_per_fu": 0.99, "final_energy_ev_per_atom": -5.9516, "cell": [[-2.216, 2.216, 8.141], [2.216, -2.216, 8.141], [2.216, 2.216, -8.141]], "species": ["Pr", "Pr", "Sc", "Sc", "Ge", "Sb"], "fractional_positions": [[0.000, 0.000, 0.000], [0.351, 0.351, 0.000], [0.188, 0.688, 0.500], [0.688, 0.188, 0.500], [0.801, 0.801, 0.000], [0.555, 0.555, 0.000]]}

---

[10]
{"formula": "TbY2Si4Au4", "functional": "PBE-GGA", "state": "relaxed", "spacegroup": "Immm (71)", "magmom_total_mub_per_fu": 0.01, "final_energy_ev_per_atom": -5.4797, "cell": [[-2.070, 2.119, 12.532], [2.070, -2.119, 12.532], [2.070, 2.119, -12.532]], "species": ["Tb", "Y", "Y", "Si", "Si", "Si", "Si", "Au", "Au", "Au", "Au"], "fractional_positions": [[0.000, 0.000, 0.000], [0.352, 0.852, 0.500], [0.648, 0.148, 0.500], [0.190, 0.690, 0.500], [0.453, 0.453, 0.000], [0.547, 0.547, 0.000], [0.810, 0.310, 0.500], [0.094, 0.594, 0.500], [0.252, 0.252, 0.000], [0.748, 0.748, 0.000], [0.906, 0.406, 0.500]]}

---

[11]
{"formula": "Sm2Ho2O5", "functional": "PBE-GGA", "state": "relaxed", "spacegroup": "P4/mmm (123)", "magmom_total_mub_per_fu": 0.01, "de_polymorph_ev_per_fu": 0.951, "cell": [[4.311, 0.000, 0.000], [0.000, 4.311, 0.000], [0.000, 0.000, 7.570]], "species": ["Sm", "Sm", "Ho", "Ho", "O", "O", "O", "O", "O"], "fractional_positions": [[0.000, 0.000, 0.000], [0.000, 0.000, 0.500], [0.500, 0.500, 0.227], [0.500, 0.500, 0.773], [0.000, 0.500, 0.239], [0.000, 0.500, 0.761], [0.500, 0.000, 0.239], [0.500, 0.000, 0.761], [0.500, 0.500, 0.500]]}

---

[12]
{"formula": "GdTmMg", "functional": "PBE-GGA", "state": "relaxed", "spacegroup": "F-43m (216)", "magmom_total_mub_per_fu": 0.04, "de_polymorph_ev_per_fu": 1.452, "cell": [[0.000, 3.687, 3.687], [3.687, 0.000, 3.687], [3.687, 3.687, 0.000]], "species": ["Gd", "Tm", "Mg"], "fractional_positions": [[0.000, 0.000, 0.000], [0.500, 0.500, 0.500], [0.250, 0.250, 0.250]]}

---

> Which formula does entry 1 have?

Cu2Sn2Pb3